No. 1
A plane-wave DFT calculation with PBE was carried out for a relaxed TaNb8Re2 crystal. Values from VASP.

Properties
- DOS at the Fermi energy (states/eV per cell) = 10.47
- energy of formation (eV per atom) = 0.116

```
&SYSTEM
  ibrav = 0, nat = 11, ntyp = 3
/
ATOMIC_SPECIES
Nb 92.91 Nb.upf
Re 186.21 Re.upf
Ta 180.95 Ta.upf
CELL_PARAMETERS angstrom
-0.970 -1.852 4.724
1.517 -7.370 -1.894
5.968 -4.958 -0.035
ATOMIC_POSITIONS crystal
Nb 0.890 0.585 0.585
Nb 0.609 0.152 0.660
Nb 0.885 0.215 0.215
Nb 0.110 0.415 0.415
Nb 0.609 0.660 0.152
Nb 0.391 0.848 0.340
Nb 0.115 0.785 0.785
Nb 0.391 0.340 0.848
Re 0.369 0.257 0.257
Re 0.631 0.743 0.743
Ta 0.000 0.000 0.000
```

=====

No. 2
A plane-wave DFT calculation with PBE was carried out for a relaxed LaTb2H8 crystal. Values from VASP.

Properties
- VASP energy (eV for the cell shown) = -47.829
- DOS at the Fermi energy (states/eV per cell) = 1.47

```
&SYSTEM
  ibrav = 0, nat = 11, ntyp = 3
/
ATOMIC_SPECIES
H 1.01 H.upf
Tb 158.93 Tb.upf
La 138.91 La.upf
CELL_PARAMETERS angstrom
-3.668 -0.602 -0.302
0.386 -4.088 3.459
0.713 5.867 2.688
ATOMIC_POSITIONS crystal
H 0.667 0.898 0.334
H 0.333 0.102 0.666
H 0.000 0.710 0.000
H 0.000 0.290 0.000
H 0.843 0.843 0.687
H 0.333 0.564 0.666
H 0.157 0.157 0.313
H 0.667 0.436 0.334
Tb 0.171 0.671 0.342
Tb 0.829 0.329 0.658
La 0.500 0.000 0.000
```